Entry 1:
NbSnPt2Rh PBE relaxed; DOS at the Fermi energy = 1.177 states/eV per atom; ΔH_f (0 K) = 1.1506 eV per atom; symmetry = P4/mmm
1.0
4.8088 0.0000 0.0000
0.0000 5.2732 0.0000
0.0000 0.0000 4.8088
Rh Sn Nb Pt
1 1 1 2
Direct
0.5000 0.5000 0.5000
0.0000 0.5000 0.0000
0.0000 0.0000 0.0000
0.5000 0.0000 0.0000
0.0000 0.0000 0.5000


Entry 2:
SrNbPtRh2 PBE relaxed; DOS at the Fermi energy = 2.392 states/eV per atom; ΔH_f (0 K) = 0.6964 eV per atom; symmetry = P4/mmm
1.0
-3.2300 3.8642 0.4753
-0.9403 -1.3322 4.4408
3.7613 2.9375 1.6777
Nb Rh Pt Sr
1 2 1 1
Direct
0.0000 0.5000 0.0000
0.0000 0.0000 0.5000
0.5000 0.0000 0.0000
0.0000 0.0000 0.0000
0.5000 0.5000 0.5000